Entry 1:
This record from Alexandria describes a relaxed structure of Rb4MnAg3Br12. The functional is PBE.

Properties
V: 32.1 Å³/atom
Formation energy without anion corrections: -0.97 eV/atom
Uncorrected energy: -3.054 eV per atom

a b c (Å): 9.4166 9.4166 9.4166
angles (deg): 109.47 109.47 109.47
Last column: nearest neighbours and their distance in Å.
Positions (direct):
Rb 0.0000 0.0000 0.5000  12 Br 3.84-3.85
Br 0.2500 0.5000 0.7500  2 Ag 2.72
Br 0.2291 0.2291 0.0000  1 Mn 2.49
Br 0.0000 0.7709 0.7709  1 Mn 2.49
Br 0.7709 0.7709 0.0000  1 Mn 2.49
Br 0.7500 0.5000 0.2500  2 Ag 2.72
Rb 0.0000 0.5000 0.0000  12 Br 3.84-3.85
Br 0.7500 0.2500 0.5000  2 Ag 2.72
Rb 0.5000 0.5000 0.5000  12 Br 3.84-3.85
Ag 0.0000 0.5000 0.5000  6 Br 2.72-2.95
Br 0.0000 0.2291 0.2291  1 Mn 2.49
Br 0.5000 0.7500 0.2500  2 Ag 2.72
Br 0.7709 0.0000 0.7709  1 Mn 2.49
Br 0.5000 0.2500 0.7500  2 Ag 2.72
Br 0.2500 0.7500 0.5000  2 Ag 2.72
Mn 0.0000 0.0000 0.0000  6 Br 2.49
Ag 0.5000 0.5000 0.0000  6 Br 2.72-2.95
Br 0.2291 0.0000 0.2291  1 Mn 2.49
Ag 0.5000 0.0000 0.5000  6 Br 2.72-2.95
Rb 0.5000 0.0000 0.0000  12 Br 3.84-3.85



Entry 2:
This record from Alexandria describes a relaxed structure of Rb3MnAg3Br8. The functional is PBE.

Properties
V: 33.4 Å³/atom
Formation energy without anion corrections: -0.95 eV/atom
Uncorrected energy: -3.213 eV per atom

a b c (Å): 8.6108 8.6595 9.2182
angles (deg): 118.04 90.00 119.81
Last column: nearest neighbours and their distance in Å.
Positions (direct):
Br 0.2446 0.0249 0.3083  1 Mn 2.74, 2 Ag 2.97-3.01
Br 0.7324 0.4648 0.6943  3 Ag 2.90-2.94
Ag 0.0000 0.5000 0.5000  6 Br 2.90-3.01
Br 0.7803 0.0249 0.3083  1 Mn 2.74, 2 Ag 2.97-3.01
Br 0.2676 0.5352 0.3057  3 Ag 2.90-2.94
Br 0.2197 0.9751 0.6917  1 Mn 2.74, 2 Ag 2.97-3.01
Rb 0.0000 0.5000 0.0000  6 Br 3.39-3.44
Rb 0.0000 0.0000 0.0000  6 Br 3.40-3.44
Br 0.7554 0.9751 0.6917  1 Mn 2.74, 2 Ag 2.97-3.01
Br 0.7825 0.5650 0.3098  1 Mn 2.75, 2 Ag 2.98
Ag 0.5000 0.5000 0.5000  6 Br 2.90-3.01
Rb 0.5000 0.5000 0.0000  6 Br 3.39-3.44
Ag 0.5000 0.0000 0.5000  6 Br 2.94-2.97
Mn 0.0000 0.0000 0.5000  6 Br 2.74-2.75
Br 0.2175 0.4350 0.6902  1 Mn 2.75, 2 Ag 2.98



Entry 3:
This record from Alexandria describes a relaxed structure of Rb3Mn2AgBr8. The functional is PBE.

Properties
V: 37.0 Å³/atom
Formation energy without anion corrections: -1.13 eV/atom
Uncorrected energy: -3.808 eV per atom

a b c (Å): 7.8156 7.8156 9.7970
angles (deg): 90.00 90.00 120.00
Last column: nearest neighbours and their distance in Å.
Positions (direct):
Br 0.6667 0.3333 0.0409  1 Mn 2.43
Ag 0.0000 0.0000 0.5000  6 Br 2.88
Br 0.1649 0.8351 0.3142  1 Mn 2.51
Rb 0.0000 0.0000 0.0000  6 Br 3.80
Br 0.6703 0.8351 0.3142  1 Mn 2.51
Br 0.3333 0.6667 0.9591  1 Mn 2.43
Br 0.8351 0.6703 0.6858  1 Mn 2.51
Br 0.8351 0.1649 0.6858  1 Mn 2.51
Br 0.1649 0.3297 0.3142  1 Mn 2.51
Mn 0.6667 0.3333 0.7932  4 Br 2.43-2.51
Br 0.3297 0.1649 0.6858  1 Mn 2.51
Rb 0.3333 0.6667 0.6179  1 Br 3.34
Mn 0.3333 0.6667 0.2068  4 Br 2.43-2.51
Rb 0.6667 0.3333 0.3821  1 Br 3.34



Question: Among the records above, which one has the highest formation energy without anion corrections?
Answer: Rb3MnAg3Br8



What did the third record say?
This record from Alexandria describes a relaxed structure of Rb3Mn2AgBr8. The functional is PBE.

Properties
V: 37.0 Å³/atom
Formation energy without anion corrections: -1.13 eV/atom
Uncorrected energy: -3.808 eV per atom

a b c (Å): 7.8156 7.8156 9.7970
angles (deg): 90.00 90.00 120.00
Last column: nearest neighbours and their distance in Å.
Positions (direct):
Br 0.6667 0.3333 0.0409  1 Mn 2.43
Ag 0.0000 0.0000 0.5000  6 Br 2.88
Br 0.1649 0.8351 0.3142  1 Mn 2.51
Rb 0.0000 0.0000 0.0000  6 Br 3.80
Br 0.6703 0.8351 0.3142  1 Mn 2.51
Br 0.3333 0.6667 0.9591  1 Mn 2.43
Br 0.8351 0.6703 0.6858  1 Mn 2.51
Br 0.8351 0.1649 0.6858  1 Mn 2.51
Br 0.1649 0.3297 0.3142  1 Mn 2.51
Mn 0.6667 0.3333 0.7932  4 Br 2.43-2.51
Br 0.3297 0.1649 0.6858  1 Mn 2.51
Rb 0.3333 0.6667 0.6179  1 Br 3.34
Mn 0.3333 0.6667 0.2068  4 Br 2.43-2.51
Rb 0.6667 0.3333 0.3821  1 Br 3.34



Question: Number 2 is which compound?
Answer: Rb3MnAg3Br8